1.
## HoI2F (PBE)

Data for crystalline HoI2F at its relaxed geometry.

## Properties
* crystal system: orthorhombic
* ΔE_f (raw): -9.23 eV/f.u.
* DOS at the Fermi energy: 0.000 states/eV/cell
* final energy: -4.694 eV per atom

abc: 4.336 4.351 15.928
angles: 90.00 90.00 90.00
Space group Immm (No. 71)
Asymmetric unit:
Ho 0.000 0.000 0.000 x2
I 0.000 0.500 0.366 x4
F 0.000 0.500 0.000 x2


2.
## SrMoOsSe2 (PBE)

Data for crystalline SrMoOsSe2 at its relaxed geometry.

## Properties
* crystal system: tetragonal
* ΔE_f (raw): 13.20 eV/f.u.
* DOS at the Fermi energy: 11.674 states/eV/cell
* final energy: -3.502 eV per atom

abc: 5.319 5.319 4.903
angles: 90.00 90.00 90.00
Space group P4/mmm (No. 123)
Asymmetric unit:
Sr 0.000 0.000 0.000 x1
Mo 0.000 0.000 0.500 x1
Os 0.500 0.500 0.500 x1
Se 0.000 0.500 0.000 x2


3.
## Sn4AsOs2 (PBE)

Data for crystalline Sn4AsOs2 at its relaxed geometry.

## Properties
* crystal system: tetragonal
* DOS at the Fermi energy: 14.471 states/eV/cell
* final energy: -5.267 eV per atom

abc: 5.298 5.298 13.149
angles: 90.00 90.00 90.00
Space group I4/mmm (No. 139)
Asymmetric unit:
Sn 0.000 0.000 0.213 x4
Sn 0.000 0.500 0.000 x4
As 0.000 0.000 0.000 x2
Os 0.000 0.000 0.410 x4


Number 1: magnetization 0.00 μB/atom. Number 2: magnetization 0.03 μB/atom. Number 3: magnetization 0.00 μB/atom.